A relaxed structure of USb2, computed with PBE.

Values from the calculation:
Its uncorrected formation energy is -14.9 kJ per mole of atoms. As for the crystal system: tetragonal. The total energy comes out at -6.67 eV/atom.

Geometry as POSCAR:
```
USb2
1.0
-1.979 1.979 4.985
1.979 -1.979 4.985
1.979 1.979 -4.985
U Sb
1 2
direct
0.000 0.000 0.000 U
0.343 0.343 0.000 Sb
0.657 0.657 0.000 Sb
```



A relaxed structure of KSb3Ir, computed with PBE.

Values from the calculation:
Its uncorrected formation energy is 211.1 kJ per mole of atoms. As for the crystal system: cubic. The calculation puts the offset from the most stable computed form at 1979.7 meV/atom. The total energy comes out at -2.28 eV/atom.

Geometry as POSCAR:
```
KSb3Ir
1.0
5.599 0.000 0.000
0.000 5.599 0.000
0.000 0.000 5.599
K Sb Ir
1 3 1
direct
0.000 0.000 0.000 K
0.000 0.000 0.500 Sb
0.000 0.500 0.000 Sb
0.500 0.000 0.000 Sb
0.500 0.500 0.500 Ir
```



A relaxed structure of Ir8Ru, computed with PBE.

Values from the calculation:
As for the crystal system: tetragonal. As for the energy of formation: -0.21 eV/f.u. The total energy comes out at -8.93 eV/atom.

Geometry as POSCAR:
```
Ir8Ru
1.0
-4.099 4.099 1.934
4.099 -4.099 1.934
4.099 4.099 -1.934
Ir Ru
8 1
direct
0.000 0.332 0.332 Ir
0.000 0.668 0.668 Ir
0.332 0.000 0.332 Ir
0.335 0.335 0.670 Ir
0.335 0.665 0.000 Ir
0.665 0.335 0.000 Ir
0.665 0.665 0.330 Ir
0.668 0.000 0.668 Ir
0.000 0.000 0.000 Ru
```



A relaxed structure of Er2Sc3Te2, computed with PBE.

Values from the calculation:
Its uncorrected formation energy is -65.4 kJ per mole of atoms. As for the crystal system: monoclinic. The total energy comes out at -5.59 eV/atom.

Geometry as POSCAR:
```
Er2Sc3Te2
1.0
5.907 -1.973 0.000
5.907 1.973 0.000
-2.982 0.000 7.662
Er Sc Te
2 3 2
direct
0.130 0.130 0.289 Er
0.870 0.870 0.711 Er
0.380 0.380 0.050 Sc
0.500 0.500 0.500 Sc
0.620 0.620 0.950 Sc
0.168 0.168 0.712 Te
0.832 0.832 0.288 Te
```



A relaxed structure of LaTcAsSe2, computed with PBE.

Values from the calculation:
Its uncorrected formation energy is -51.3 kJ per mole of atoms. As for the crystal system: tetragonal. The calculation puts the offset from the most stable computed form at 0.0 meV/atom. The total energy comes out at -5.91 eV/atom.

Geometry as POSCAR:
```
LaTcAsSe2
1.0
5.110 0.000 0.000
0.000 5.110 0.000
0.000 0.000 4.638
La Tc As Se
1 1 1 2
direct
0.000 0.000 0.000 La
0.500 0.500 0.500 Tc
0.500 0.500 0.000 As
0.000 0.500 0.500 Se
0.500 0.000 0.500 Se
```



A relaxed structure of LaNdGe2, computed with PBE.

Values from the calculation:
As for the crystal system: orthorhombic. The calculation puts the offset from the most stable computed form at 0.0 meV/atom. As for the energy of formation: -3.36 eV/f.u. The total energy comes out at -5.57 eV/atom.

Geometry as POSCAR:
```
LaNdGe2
1.0
4.109 0.000 0.000
0.000 2.278 5.618
0.000 -2.278 5.618
La Nd Ge
1 1 2
direct
0.000 0.000 0.000 La
0.500 0.276 0.276 Nd
0.000 0.720 0.720 Ge
0.500 0.561 0.561 Ge
```